No. 1
The following is a DFT calculation (PBEsol) of Te2PPb after structural relaxation.

Cell: 3.9460 5.4720 5.4877 Å, 112.69 90.00 90.00°
Fractional positions:
1 P 0.5000 0.0000 0.5000
2 Pb 0.5000 0.5000 0.0000
3 Te 0.0000 0.2190 0.2808
4 Te 0.0000 0.7810 0.7192

## Properties
Magnetic moment (μB per formula unit): 0.00
Space-group type: P2/m
Total energy (eV per atom): -4.1169

***

No. 2
The following is a DFT calculation (PBEsol) of TePPb2 after structural relaxation.

Cell: 4.2224 4.2237 6.4989 Å, 90.00 91.27 90.00°
Fractional positions:
1 Pb 0.9905 0.0000 0.8905
2 Pb 0.5109 0.5000 0.3051
3 P 0.4822 0.5000 0.8883
4 Te 0.0164 0.0000 0.4162

## Properties
Magnetic moment (μB per formula unit): 0.00
Space-group type: Pm
Total energy (eV per atom): -4.2995

***

No. 3
The following is a DFT calculation (PBEsol) of Te2PPb after structural relaxation.

Cell: 4.5990 4.3592 6.1498 Å, 95.04 111.96 90.00°
Fractional positions:
1 Pb 0.7121 0.8125 0.4242
2 P 0.5041 0.3044 0.0081
3 Te 0.9977 0.0125 0.9953
4 Te 0.2862 0.3706 0.5724

## Properties
Magnetic moment (μB per formula unit): 0.00
Space-group type: Cm
Total energy (eV per atom): -4.1791

***

No. 4
The following is a DFT calculation (PBEsol) of TePPb4 after structural relaxation.

Cell: 6.1522 6.2035 19.8861 Å, 90.00 90.00 90.00°
Fractional positions:
1 P 0.2500 0.0000 0.3627
2 P 0.7500 0.5000 0.1373
3 P 0.7500 0.0000 0.6373
4 P 0.2500 0.5000 0.8627
5 Pb 0.3951 0.2622 0.4621
6 Pb 0.8951 0.2378 0.0379
7 Pb 0.1049 0.7378 0.4621
8 Pb 0.6049 0.7622 0.0379
9 Pb 0.6049 0.7378 0.5379
10 Pb 0.1049 0.7622 0.9621
11 Pb 0.8951 0.2622 0.5379
12 Pb 0.3951 0.2378 0.9621
13 Pb 0.4611 0.1735 0.7250
14 Pb 0.9611 0.3265 0.7750
15 Pb 0.0389 0.8265 0.7250
16 Pb 0.5389 0.6735 0.7750
17 Pb 0.5389 0.8265 0.2750
18 Pb 0.0389 0.6735 0.2250
19 Pb 0.9611 0.1735 0.2750
20 Pb 0.4611 0.3265 0.2250
21 Te 0.2500 0.5000 0.6272
22 Te 0.7500 0.0000 0.8728
23 Te 0.7500 0.5000 0.3728
24 Te 0.2500 0.0000 0.1272

## Properties
Magnetic moment (μB per formula unit): 0.00
Space-group type: Pbcn
Total energy (eV per atom): -4.1411